First-principles (PBE) data for an optimized crystal structure of GaPb2Cl, as listed in the Alexandria database.

It has space group I-42d (No. 122), with a = 6.257 Å, b = 6.257 Å, c = 15.174 Å, α = 90.00°, β = 90.00° and γ = 90.00°. The inequivalent atoms are Ga at (0.000, 0.000, 0.000), Pb at (0.231, 0.250, 0.125) and Cl at (0.000, 0.000, 0.500).

The value obtained for the theoretical density is 5.81 g cm⁻³. For the density of states at the Fermi level, the calculation gives 0.00 states/eV/cell. The distance to the lowest polymorph of the same formula comes out at 0.97 eV/f.u. The calculation puts the formation energy without anion corrections at 0.000 eV/atom. The value obtained for the calculated total energy is -3.07 eV/atom.

***

First-principles (PBE) data for an optimized crystal structure of GaPbCl3, as listed in the Alexandria database.

It has space group P1 (No. 1), with a = 5.742 Å, b = 5.742 Å, c = 5.742 Å, α = 87.34°, β = 87.23° and γ = 87.38°. The inequivalent atoms are Ga at (0.000, 0.000, 0.000), Pb at (0.627, 0.627, 0.628), Cl at (0.130, 0.669, 0.668), Cl at (0.668, 0.129, 0.671) and Cl at (0.670, 0.668, 0.131).

The value obtained for the theoretical density is 3.37 g cm⁻³. For the density of states at the Fermi level, the calculation gives 0.00 states/eV/cell. The calculation puts the formation energy without anion corrections at -0.948 eV/atom. The value obtained for the calculated total energy is -3.40 eV/atom.

***

First-principles (PBE) data for an optimized crystal structure of Ga3Pb5Cl12, as listed in the Alexandria database.

It has space group Ia-3d (No. 230), with a = 17.675 Å, b = 17.675 Å, c = 17.675 Å, α = 90.00°, β = 90.00° and γ = 90.00°. The inequivalent atoms are Ga at (0.000, 0.250, 0.125), Pb at (0.000, 0.000, 0.000), Pb at (0.000, 0.250, 0.375) and Cl at (0.028, 0.072, 0.647).

The value obtained for the theoretical density is 4.02 g cm⁻³. For the density of states at the Fermi level, the calculation gives 59.32 states/eV/cell. The calculation puts the formation energy without anion corrections at -0.843 eV/atom. The value obtained for the calculated total energy is -3.33 eV/atom.

***

First-principles (PBE) data for an optimized crystal structure of Ga2PbCl, as listed in the Alexandria database.

It has space group Fm-3m (No. 225), with a = 7.259 Å, b = 7.259 Å, c = 7.259 Å, α = 90.00°, β = 90.00° and γ = 90.00°. The inequivalent atoms are Ga at (0.250, 0.250, 0.250), Pb at (0.000, 0.000, 0.000) and Cl at (0.000, 0.000, 0.500).

The value obtained for the theoretical density is 6.63 g cm⁻³. For the density of states at the Fermi level, the calculation gives 13.38 states/eV/cell. The distance to the lowest polymorph of the same formula comes out at 0.00 eV/f.u. The calculation puts the formation energy without anion corrections at -0.057 eV/atom. The value obtained for the calculated total energy is -2.96 eV/atom.

***

First-principles (PBE) data for an optimized crystal structure of GaPbCl3, as listed in the Alexandria database.

It has space group Pm-3m (No. 221), with a = 5.658 Å, b = 5.658 Å, c = 5.658 Å, α = 90.00°, β = 90.00° and γ = 90.00°. The inequivalent atoms are Ga at (0.000, 0.000, 0.000), Pb at (0.500, 0.500, 0.500) and Cl at (0.000, 0.500, 0.500).

The value obtained for the theoretical density is 3.51 g cm⁻³. For the density of states at the Fermi level, the calculation gives 0.00 states/eV/cell. The calculation puts the formation energy without anion corrections at -0.806 eV/atom. The value obtained for the calculated total energy is -3.26 eV/atom.

***

First-principles (PBE) data for an optimized crystal structure of PmGaPbCl6, as listed in the Alexandria database.

It has space group P4_2nm (No. 102), with a = 6.781 Å, b = 6.781 Å, c = 13.071 Å, α = 90.00°, β = 90.00° and γ = 90.00°. The inequivalent atoms are Pm at (0.000, 0.000, 0.000), Ga at (0.000, 0.000, 0.668), Pb at (0.000, 0.000, 0.335), Cl at (0.187, 0.187, 0.159), Cl at (0.195, 0.195, 0.847) and Cl at (0.214, 0.214, 0.495).

The value obtained for the theoretical density is 3.51 g cm⁻³. For the density of states at the Fermi level, the calculation gives 0.00 states/eV/cell. The calculation puts the formation energy without anion corrections at -1.548 eV/atom. The value obtained for the calculated total energy is -4.06 eV/atom.

***

Size of the total moment, record by record: 0.0; 0.0; 0.0; 0.0; 0.0; 0.0 μB per formula unit